Entry 1:
A relaxed SrW2Se crystal. Source: Alexandria via LeMat-Bulk, functional PBE-GGA.

The structure belongs to space group Amm2 (No. 38); the cell edges are 3.267, 3.558 and 15.377 Å and the angles 90.00°, 90.00° and 90.00°. The distinct sites, in fractional coordinates, are Sr at (0.000, 0.000, 0.000), W at (0.000, 0.000, 0.762), W at (0.500, 0.000, 0.334) and Se at (0.500, 0.000, 0.628).

For the uncorrected formation energy, the calculation gives 0.151 eV/atom. For the theoretical density, the calculation gives 9.9 g/cm³.

***

Entry 2:
A relaxed SrWSe2 crystal. Source: Alexandria via LeMat-Bulk, functional PBE-GGA.

The structure belongs to space group Immm (No. 71); the cell edges are 3.630, 6.139 and 8.904 Å and the angles 90.00°, 90.00° and 90.00°. The distinct sites, in fractional coordinates, are Sr at (0.000, 0.000, 0.000), W at (0.000, 0.000, 0.500) and Se at (0.000, 0.500, 0.196).

For the uncorrected formation energy, the calculation gives -0.332 eV/atom. For the theoretical density, the calculation gives 7.2 g/cm³. The energy above the most stable polymorph in this dataset is 190 meV/atom.

***

Entry 3:
A relaxed SrW2Se crystal. Source: Alexandria via LeMat-Bulk, functional PBE-GGA.

The structure belongs to space group R-3m (No. 166, hexagonal axes); the cell edges are 3.0950, 3.0950 and 28.6198 Å and the angles 90.00°, 90.00° and 120.00°. The distinct sites, in fractional coordinates, are Sr at (0.0000, 0.0000, 0.0000), W at (0.0000, 0.0000, 0.2344) and Se at (0.0000, 0.0000, 0.5000).

For the uncorrected formation energy, the calculation gives 0.972 eV/atom. For the theoretical density, the calculation gives 11.2 g/cm³.